(1)
Hf5Tc4Ir (PBE, optimized geometry); space group = P4/mmm; formation energy = -611 meV/atom; volume = 17.4 Å³/atom
1.0
3.267 0.000 0.000
0.000 3.267 0.000
0.000 0.000 16.296
Hf Tc Ir
5 4 1
Cartesian
1.633 1.633 1.671
1.633 1.633 4.883
1.633 1.633 8.148
1.633 1.633 11.413
1.633 1.633 14.625
0.000 0.000 3.235
0.000 0.000 6.519
0.000 0.000 9.776
0.000 0.000 13.061
0.000 0.000 0.000


(2)
Hf3Tc2Ir (PBE, optimized geometry); space group = P4/mmm; formation energy = -708 meV/atom; volume = 17.4 Å³/atom
1.0
3.271 0.000 0.000
0.000 3.271 0.000
0.000 0.000 9.747
Hf Tc Ir
3 2 1
Cartesian
0.000 0.000 0.000
0.000 0.000 6.543
0.000 0.000 3.205
1.636 1.636 8.096
1.636 1.636 1.651
1.636 1.636 4.874


(3)
Hf3TcIr (PBE, optimized geometry); space group = Pm-3m; formation energy = 657 meV/atom; volume = 24.0 Å³/atom
1.0
4.934 0.000 0.000
0.000 4.934 0.000
0.000 0.000 4.934
Ir Hf Tc
1 3 1
Cartesian
0.000 0.000 0.000
0.000 2.467 0.000
0.000 0.000 2.467
2.467 0.000 0.000
2.467 2.467 2.467


(4)
Hf6Tc5Ir (PBE, optimized geometry); space group = Immm; formation energy = -619 meV/atom; volume = 17.3 Å³/atom
1.0
-0.515 4.473 -1.008
-2.577 -1.595 -5.759
-4.770 -1.524 6.233
Ir Hf Tc
1 6 5
Cartesian
0.000 0.000 0.000
-2.762 -0.429 -0.493
-4.044 -1.222 -3.358
-0.908 1.834 -1.958
-2.184 1.044 -4.809
-3.818 2.577 2.824
-5.100 1.784 -0.041
-5.513 -0.854 -0.974
-3.651 1.411 -2.434
-1.289 -0.797 -2.880
-4.211 -0.056 1.900
-2.349 2.209 0.440


(5)
HfTcIr2 (PBE, optimized geometry); space group = P4/mmm; formation energy = -538 meV/atom; volume = 15.7 Å³/atom
1.0
-2.445 2.311 2.020
-1.099 -3.128 2.248
2.935 0.835 2.597
Ir Hf Tc
2 1 1
Cartesian
1.467 0.417 1.298
-0.550 -1.564 1.124
-0.305 0.009 3.432
-1.222 1.156 1.010


(6)
HfTcIr2 (PBE, optimized geometry); space group = Fm-3m; formation energy = -146 meV/atom; volume = 16.5 Å³/atom
1.0
-3.238 -1.873 2.567
-3.461 -2.189 -1.953
-0.305 -4.515 0.330
Ir Hf Tc
2 1 1
Cartesian
-1.751 -2.144 0.236
-5.253 -6.433 0.708
-3.502 -4.288 0.472
0.000 0.000 0.000


(7)
Hf4Tc3Ir (PBE, optimized geometry); space group = Pmmm; formation energy = -671 meV/atom; volume = 17.3 Å³/atom
1.0
-2.457 -2.143 -0.220
2.584 -3.178 2.114
-3.196 2.828 8.158
Ir Hf Tc
1 4 3
Cartesian
0.063 -2.661 0.947
-1.598 1.414 4.079
-1.095 0.523 7.149
0.000 0.000 0.000
0.482 -0.873 3.123
-2.017 -0.374 1.902
-1.535 -1.247 5.026
-3.636 1.059 6.036


(8)
HfTcIr3 (PBE, optimized geometry); space group = Pm-3m; formation energy = 1148 meV/atom; volume = 20.4 Å³/atom
1.0
-0.685 4.618 -0.077
-3.729 -0.507 2.764
2.726 0.467 3.763
Ir Hf Tc
3 1 1
Cartesian
-1.865 -0.254 1.382
1.363 0.233 1.881
-0.343 2.309 -0.038
-0.844 2.289 3.225
0.000 0.000 0.000